Record 1
Compound: PmCuHg6
Source: the Alexandria database
Functional: PBE-GGA
Structure: relaxed

Output
The space group is R-3m (166). As for the total magnetization: 0.0 μB per formula unit. The value obtained for the formation energy is 253 meV per atom.

Lattice parameters (Å, degrees): 6.067 6.067 8.873 70.01 70.01 60.00
Positions (direct):
Pm1 0.000 0.000 0.000
Cu1 0.500 0.500 0.500
Hg1 0.065 0.065 0.314
Hg2 0.065 0.556 0.314
Hg3 0.444 0.935 0.686
Hg4 0.935 0.444 0.686
Hg5 0.935 0.935 0.686
Hg6 0.556 0.065 0.314

---

Record 2
Compound: CeNdPb2
Source: the Alexandria database
Functional: PBE-GGA
Structure: relaxed

Output
The space group is P4/mmm (123). As for the total magnetization: 1.3 μB per formula unit. The value obtained for the formation energy is -456 meV per atom.

Lattice parameters (Å, degrees): 3.608 3.608 9.215 90.00 90.00 90.00
Positions (direct):
Pb1 0.000 0.000 0.750
Pb2 0.000 0.000 0.250
Nd1 0.500 0.500 0.500
Ce1 0.500 0.500 0.000

---

Record 3
Compound: NaCoOs
Source: the Alexandria database
Functional: PBE-GGA
Structure: relaxed

Output
The space group is Fmmm (69). As for the total magnetization: 0.0 μB per formula unit. The value obtained for the formation energy is 590 meV per atom.

Lattice parameters (Å, degrees): 5.919 4.665 5.038 75.07 49.61 55.33
Positions (direct):
Co1 0.250 0.250 0.250
Co2 0.750 0.750 0.750
Os1 0.356 0.644 0.356
Os2 0.644 0.356 0.644
Na1 0.848 0.848 0.152
Na2 0.152 0.152 0.848

---

| no. | calculated density (g cm⁻³) |
| --- | --- |
| 1 | 9.023 |
| 2 | 9.673 |
| 3 | 10.540 |